This record from the Alexandria database describes an optimized crystal structure of Pm2Sm3HoBi6. The functional is PBE.

```
Pm2Sm3HoBi6
1.0
4.5506 0.0000 0.0000
0.0000 9.0905 0.3270
-2.2753 -2.6144 9.5602
Sm Bi Pm Ho
3 6 2 1
Direct
0.8323 0.1662 0.6645
0.5000 0.5000 0.0000
0.1677 0.8338 0.3355
0.9990 0.2449 0.9980
0.0010 0.7551 0.0020
0.3335 0.4159 0.6669
0.6665 0.5841 0.3331
0.6647 0.0812 0.3293
0.3353 0.9188 0.6707
0.8340 0.6672 0.6680
0.1660 0.3328 0.3320
0.5000 0.0000 0.0000
```

* energy of formation: -0.914 eV/atom
* uncorrected energy: -5.21 eV per atom